First-principles (GGA-PBE) data for a relaxed structure of Ba3Tb3AgTe8, as listed in Alexandria.

Properties
Mass density, g cm⁻³: 5.900
E, eV for the cell shown: -67.54

a = 9.1391 Å, b = 9.1368 Å, c = 9.4582 Å
α = 118.87°, β = 90.00°, γ = 120.01°
Closest atoms and distances in Å follow each position.
Fractional positions:
Te (0.7295, 0.9724, 0.7154)  2 Tb 3.10, 1 Ag 3.19
Te (0.7392, 0.4784, 0.7177)  3 Tb 3.14, 3 Ba 3.45
Te (0.2608, 0.5216, 0.2823)  3 Tb 3.14, 3 Ba 3.45
Te (0.2705, 0.0276, 0.2846)  2 Tb 3.10, 1 Ag 3.19
Te (0.7575, 0.5149, 0.2850)  2 Tb 3.10, 1 Ag 3.19
Te (0.2430, 0.9724, 0.7154)  2 Tb 3.10, 1 Ag 3.19
Te (0.7570, 0.0276, 0.2846)  2 Tb 3.10, 1 Ag 3.19
Te (0.2425, 0.4851, 0.7150)  2 Tb 3.10, 1 Ag 3.19
Ba (0.0000, 0.5000, 0.0000)  6 Te 3.45-3.48
Ba (0.0000, 0.0000, 0.0000)  6 Te 3.45-3.48
Ba (0.5000, 0.5000, 0.0000)  6 Te 3.45-3.48
Tb (0.5000, 0.5000, 0.5000)  6 Te 3.10-3.14
Tb (0.5000, 0.0000, 0.5000)  6 Te 3.10-3.14
Tb (0.0000, 0.5000, 0.5000)  6 Te 3.10-3.14
Ag (0.0000, 0.0000, 0.5000)  6 Te 3.19